A geometry-optimized NiSbCl2 structure, computed with PBE.

ΔE to the lowest computed polymorph in eV per atom: 0.505
Uncorrected formation energy in eV per atom: 0.10
ρ in g cm⁻³: 5.05

Structure (POSCAR):
```
NiSbCl2
1.0
0.000 3.282 4.253
2.960 0.000 4.253
2.960 3.282 0.000
Ni Sb Cl
1 1 2
direct
0.000 0.000 0.000
0.500 0.500 0.500
0.000 0.500 0.500
0.500 0.000 0.000
```